Record 1
A relaxed structure of RbErFeS3. Source: OQMD, functional PBE.

Total energy: -5.7176 eV/atom

The structure in CIF format:
```
data_RbErFeS3
_chemical_formula_sum 'Rb2 Er2 Fe2 S6'
_symmetry_space_group_name_H-M 'P 1 21/m 1'
_symmetry_Int_Tables_number 11
_cell_length_a 9.044
_cell_length_b 3.936
_cell_length_c 9.525
_cell_angle_alpha 90.00
_cell_angle_beta 110.21
_cell_angle_gamma 90.00
loop_
_symmetry_equiv_pos_as_xyz
'x,y,z'
'-x,-y,-z'
'-x,y+1/2,-z'
'x,-y+1/2,z'
loop_
_atom_site_label
_atom_site_fract_x
_atom_site_fract_y
_atom_site_fract_z
Rb1 0.210 0.250 0.236
Er1 0.335 0.750 0.853
Fe1 0.076 0.250 0.593
S1 0.120 0.250 0.844
S2 0.196 0.750 0.540
S3 0.464 0.750 0.152
```

***

Record 2
A relaxed structure of NaErSeO. Source: OQMD, functional PBE.

Total energy: -5.6892 eV/atom

The structure in CIF format:
```
data_NaErSeO
_chemical_formula_sum 'Na2 Er2 Se2 O2'
_symmetry_space_group_name_H-M 'P m c 21'
_symmetry_Int_Tables_number 26
_cell_length_a 4.348
_cell_length_b 7.470
_cell_length_c 6.173
_cell_angle_alpha 90.00
_cell_angle_beta 90.00
_cell_angle_gamma 90.00
loop_
_symmetry_equiv_pos_as_xyz
'x,y,z'
'-x,-y,z+1/2'
'-x,y,z'
'x,-y,z+1/2'
loop_
_atom_site_label
_atom_site_fract_x
_atom_site_fract_y
_atom_site_fract_z
Na1 0.000 0.211 0.000
Er1 0.500 0.370 0.590
Se1 0.000 0.179 0.468
O1 0.500 0.385 0.928
```

***

Record 3
A relaxed structure of GePAuO. Source: OQMD, functional PBE.

Total energy: -4.8101 eV/atom

The structure in CIF format:
```
data_GePAuO
_chemical_formula_sum 'Ge2 P2 Au2 O2'
_symmetry_space_group_name_H-M 'P m c 21'
_symmetry_Int_Tables_number 26
_cell_length_a 3.591
_cell_length_b 6.459
_cell_length_c 6.251
_cell_angle_alpha 90.00
_cell_angle_beta 90.00
_cell_angle_gamma 90.00
loop_
_symmetry_equiv_pos_as_xyz
'x,y,z'
'-x,-y,z+1/2'
'-x,y,z'
'x,-y,z+1/2'
loop_
_atom_site_label
_atom_site_fract_x
_atom_site_fract_y
_atom_site_fract_z
Ge1 0.000 0.193 0.000
P1 0.000 0.156 0.382
Au1 0.500 0.333 0.523
O1 0.500 0.292 0.941
```

***

Record 4
A relaxed structure of LiNbCdPt. Source: OQMD, functional PBE.

Total energy: -4.9623 eV/atom

The structure in CIF format:
```
data_LiNbCdPt
_chemical_formula_sum 'Li4 Nb4 Cd4 Pt4'
_symmetry_space_group_name_H-M 'F -4 3 m'
_symmetry_Int_Tables_number 216
_symmetry_space_group_name_Hall 'F -4 2 3'
_cell_length_a 6.428
_cell_length_b 6.428
_cell_length_c 6.428
_cell_angle_alpha 90.00
_cell_angle_beta 90.00
_cell_angle_gamma 90.00
loop_
_atom_site_label
_atom_site_fract_x
_atom_site_fract_y
_atom_site_fract_z
Li1 0.000 0.000 0.000
Nb1 0.000 0.000 0.500
Cd1 0.250 0.250 0.750
Pt1 0.250 0.250 0.250
```

***

> Among the records above, which one has the lowest total energy?

RbErFeS3